First-principles (PBE-GGA) data for an optimized crystal structure of Mg2BiTeP, as listed in Alexandria via LeMat-Bulk.

Geometry as POSCAR:
```
Mg2BiTeP
1.0
5.274 0.000 0.000
0.000 5.274 0.000
0.000 0.000 6.040
Mg Bi Te P
2 1 1 1
Direct
0.000 0.500 0.000 Mg
0.500 0.000 0.000 Mg
0.000 0.000 0.500 Bi
0.000 0.000 0.000 Te
0.500 0.500 0.500 P
```

Properties
Total moment   0.0 Bohr magnetons per cell
Density of states at the Fermi level   3.20 states/eV per cell
Energy   -2.415 eV/atom
Polymorph energy (0 for the lowest one)   0.0 meV per atom
Formation energy from raw total energies   3.55 eV/f.u.